Entry 1:
# PaTi5In2

A geometry-optimized PaTi5In2 structure (PBE, Alexandria).

abc: 7.412 7.412 7.412
angles: 142.33 142.33 54.33
Fractional positions:
Pa (0.000, 0.000, 0.000)
Ti (0.116, 0.616, 0.500)
Ti (0.384, 0.884, 0.500)
Ti (0.500, 0.500, 0.000)
Ti (0.616, 0.116, 0.500)
Ti (0.884, 0.384, 0.500)
In (0.255, 0.255, 0.000)
In (0.745, 0.745, 0.000)

Values from the calculation:
ρ = 7.70 g cm⁻³
Crystal system = tetragonal
N(E_F) = 1.773 states/eV per atom
Formation enthalpy at 0 K = -60 meV/atom


Entry 2:
# PaTiVIn

A geometry-optimized PaTiVIn structure (PBE, Alexandria).

abc: 4.783 4.783 4.783
angles: 60.00 60.00 60.00
Fractional positions:
Pa (0.000, 0.000, 0.000)
Ti (0.250, 0.250, 0.250)
V (0.750, 0.750, 0.750)
In (0.500, 0.500, 0.500)

Values from the calculation:
ρ = 9.54 g cm⁻³
Crystal system = cubic
N(E_F) = 1.069 states/eV per atom
Formation enthalpy at 0 K = 56 meV/atom


Entry 3:
# PaTlIn2

A geometry-optimized PaTlIn2 structure (PBE, Alexandria).

abc: 3.808 3.808 7.275
angles: 90.00 90.00 90.00
Fractional positions:
Pa (0.000, 0.000, 0.000)
Tl (0.000, 0.000, 0.500)
In (0.500, 0.500, 0.260)
In (0.500, 0.500, 0.740)

Values from the calculation:
ρ = 10.47 g cm⁻³
Crystal system = tetragonal
N(E_F) = 1.516 states/eV per atom
Formation enthalpy at 0 K = 150 meV/atom
ΔE to the lowest computed polymorph = 0.191 eV per atom


Entry 4:
# PaTlIn2

A geometry-optimized PaTlIn2 structure (PBE, Alexandria).

abc: 4.681 4.681 4.687
angles: 90.00 90.00 90.00
Fractional positions:
Pa (0.000, 0.000, 0.000)
Tl (0.500, 0.500, 0.000)
In (0.000, 0.500, 0.500)
In (0.500, 0.000, 0.500)

Values from the calculation:
ρ = 10.75 g cm⁻³
Crystal system = tetragonal
N(E_F) = 1.204 states/eV per atom
Formation enthalpy at 0 K = -40 meV/atom
ΔE to the lowest computed polymorph = 0.000 eV per atom


Entry 5:
# PaTlIn2

A geometry-optimized PaTlIn2 structure (PBE, Alexandria).

abc: 5.350 5.350 5.350
angles: 60.00 60.00 60.00
Fractional positions:
Pa (0.000, 0.000, 0.000)
Tl (0.500, 0.500, 0.500)
In (0.250, 0.250, 0.250)
In (0.750, 0.750, 0.750)

Values from the calculation:
ρ = 10.20 g cm⁻³
Crystal system = cubic
N(E_F) = 1.403 states/eV per atom
Formation enthalpy at 0 K = 271 meV/atom
ΔE to the lowest computed polymorph = 0.312 eV per atom


Entry 6:
# TmPaIn6

A geometry-optimized TmPaIn6 structure (PBE, Alexandria).

abc: 4.630 4.630 9.230
angles: 90.00 90.00 90.00
Fractional positions:
Tm (0.000, 0.000, 0.000)
Pa (0.000, 0.000, 0.500)
In (0.000, 0.500, 0.247)
In (0.000, 0.500, 0.753)
In (0.500, 0.000, 0.247)
In (0.500, 0.000, 0.753)
In (0.500, 0.500, 0.000)
In (0.500, 0.500, 0.500)

Values from the calculation:
ρ = 9.14 g cm⁻³
Crystal system = tetragonal
N(E_F) = 0.876 states/eV per atom
Formation enthalpy at 0 K = -250 meV/atom


Entry 7:
# TmPaIn

A geometry-optimized TmPaIn structure (PBE, Alexandria).

abc: 9.166 9.166 9.166
angles: 152.65 152.65 39.07
Fractional positions:
Tm (0.174, 0.174, 0.000)
Tm (0.826, 0.826, 0.000)
Pa (0.000, 0.500, 0.500)
Pa (0.500, 0.000, 0.500)
In (0.358, 0.358, 0.000)
In (0.642, 0.642, 0.000)

Values from the calculation:
ρ = 10.53 g cm⁻³
Crystal system = tetragonal
N(E_F) = 1.576 states/eV per atom
Formation enthalpy at 0 K = -126 meV/atom
ΔE to the lowest computed polymorph = 0.000 eV per atom


Entry 8:
# TmPaIn

A geometry-optimized TmPaIn structure (PBE, Alexandria).

abc: 5.341 5.341 3.227
angles: 90.00 90.00 120.00
Fractional positions:
Tm (0.000, 0.000, 0.000)
Pa (0.333, 0.667, 0.445)
In (0.667, 0.333, 0.805)

Values from the calculation:
ρ = 10.72 g cm⁻³
Crystal system = trigonal
N(E_F) = 1.820 states/eV per atom
Formation enthalpy at 0 K = 120 meV/atom
ΔE to the lowest computed polymorph = 0.246 eV per atom


Entry 9:
# TmPaIn

A geometry-optimized TmPaIn structure (PBE, Alexandria).

abc: 7.814 7.814 7.814
angles: 156.18 156.18 33.94
Fractional positions:
Tm (0.000, 0.000, 0.000)
Pa (0.673, 0.673, 0.000)
In (0.338, 0.338, 0.000)

Values from the calculation:
ρ = 10.99 g cm⁻³
Crystal system = tetragonal
N(E_F) = 1.777 states/eV per atom
Formation enthalpy at 0 K = -55 meV/atom
ΔE to the lowest computed polymorph = 0.070 eV per atom


Entry 10:
# Tm2PaIn9

A geometry-optimized Tm2PaIn9 structure (PBE, Alexandria).

abc: 4.615 4.615 13.883
angles: 90.00 90.00 90.00
Fractional positions:
Tm (0.000, 0.000, 0.166)
Tm (0.000, 0.000, 0.834)
Pa (0.000, 0.000, 0.500)
In (0.000, 0.500, 0.000)
In (0.000, 0.500, 0.332)
In (0.000, 0.500, 0.668)
In (0.500, 0.000, 0.000)
In (0.500, 0.000, 0.332)
In (0.500, 0.000, 0.668)
In (0.500, 0.500, 0.167)
In (0.500, 0.500, 0.500)
In (0.500, 0.500, 0.833)

Values from the calculation:
ρ = 9.00 g cm⁻³
Crystal system = tetragonal
N(E_F) = 0.673 states/eV per atom
Formation enthalpy at 0 K = -288 meV/atom


Entry 11:
# TmPaZnIn

A geometry-optimized TmPaZnIn structure (PBE, Alexandria).

abc: 5.161 5.161 5.161
angles: 60.00 60.00 60.00
Fractional positions:
Tm (0.000, 0.000, 0.000)
Pa (0.500, 0.500, 0.500)
Zn (0.250, 0.250, 0.250)
In (0.750, 0.750, 0.750)

Values from the calculation:
ρ = 9.91 g cm⁻³
Crystal system = cubic
N(E_F) = 1.437 states/eV per atom
Formation enthalpy at 0 K = -41 meV/atom


Entry 12:
# UPa2In

A geometry-optimized UPa2In structure (PBE, Alexandria).

abc: 5.163 5.163 5.163
angles: 60.00 60.00 60.00
Fractional positions:
U (0.000, 0.000, 0.000)
Pa (0.250, 0.250, 0.250)
Pa (0.750, 0.750, 0.750)
In (0.500, 0.500, 0.500)

Values from the calculation:
ρ = 13.90 g cm⁻³
Crystal system = cubic
N(E_F) = 2.486 states/eV per atom
Formation enthalpy at 0 K = 242 meV/atom
ΔE to the lowest computed polymorph = 0.115 eV per atom


Which value of formation enthalpy at 0 K does entry 12 give? 242 meV/atom


What is the formula in the tenth record? Tm2PaIn9


Which of these has the highest N(E_F)? UPa2In


Please write out number 7 again, unchanged.
# TmPaIn

A geometry-optimized TmPaIn structure (PBE, Alexandria).

abc: 9.166 9.166 9.166
angles: 152.65 152.65 39.07
Fractional positions:
Tm (0.174, 0.174, 0.000)
Tm (0.826, 0.826, 0.000)
Pa (0.000, 0.500, 0.500)
Pa (0.500, 0.000, 0.500)
In (0.358, 0.358, 0.000)
In (0.642, 0.642, 0.000)

Values from the calculation:
ρ = 10.53 g cm⁻³
Crystal system = tetragonal
N(E_F) = 1.576 states/eV per atom
Formation enthalpy at 0 K = -126 meV/atom
ΔE to the lowest computed polymorph = 0.000 eV per atom